Record 1
This record from Alexandria describes an optimized crystal structure of GaTc2Ir2. The functional is PBE.

Cell and atoms, written as POSCAR:
```
GaTc2Ir2
1.0
7.5878 0.0000 0.0000
0.0000 7.5878 0.0000
0.0000 0.0000 2.7479
Ga Tc Ir
2 4 4
Cartesian
0.0000 0.0000 0.0000
3.7939 3.7939 0.0000
1.3065 2.4874 1.3739
2.4874 6.2813 1.3739
5.1004 1.3065 1.3739
6.2813 5.1004 1.3739
0.9371 4.7310 0.0000
2.8567 0.9371 0.0000
4.7310 6.6506 0.0000
6.6506 2.8567 0.0000
```

Symmetry ... No. 127

---

Record 2
This record from Alexandria describes an optimized crystal structure of ScTe4Mo. The functional is PBE.

Cell and atoms, written as POSCAR:
```
ScTe4Mo
1.0
0.0000 4.4119 4.4119
4.4119 0.0000 4.4119
4.4119 4.4119 0.0000
Sc Te Mo
1 4 1
Cartesian
0.0000 0.0000 0.0000
5.5131 3.3106 3.3106
3.3106 5.5131 3.3106
3.3106 3.3106 5.5131
5.5131 5.5131 5.5131
2.2059 2.2059 2.2059
```

Raw formation energy ... 0.891 eV/atom
Symmetry ... No. 216

---

Number 1: ρ 13.65 g cm⁻³, E -81.723 eV/cell. Number 2: ρ 6.30 g cm⁻³, E -24.385 eV/cell.